1.
The following is a PBE calculation of crystalline GdIrI6 at its relaxed geometry, from OQMD via LeMat-Bulk.

Summary:
Total energy   -3.56 eV/atom
Theoretical density   5.5 g cm⁻³

Geometry as POSCAR:
```
GdIrI6
1.0
-5.761 -1.150 -4.437
-0.648 -1.177 7.238
0.009 7.553 0.013
Gd I Ir
1 6 1
Direct
0.834 0.166 0.000
0.801 0.764 0.770
0.091 0.464 0.774
0.392 0.057 0.777
0.236 0.199 0.230
0.536 0.909 0.226
0.943 0.608 0.223
0.166 0.834 0.000
```



2.
The following is a PBE calculation of crystalline KNaAsAu at its relaxed geometry, from OQMD via LeMat-Bulk.

Summary:
Total energy   -3.06 eV/atom
Theoretical density   5.2 g cm⁻³
Energy relative to the lowest polymorph listed for this composition   0.0168 eV per atom

Geometry as POSCAR:
```
KNaAsAu
1.0
-5.257 0.702 -3.016
-0.319 -5.970 -0.835
-2.873 0.941 5.225
Au Na K As
2 2 2 2
Direct
0.745 0.495 0.495
0.255 0.495 0.495
0.500 0.979 0.332
0.500 0.332 0.979
0.000 0.675 0.025
0.000 0.025 0.675
0.000 0.228 0.228
0.500 0.772 0.772
```



3.
The following is a PBE calculation of crystalline Lu4Hf2Pb3C3 at its relaxed geometry, from OQMD via LeMat-Bulk.

Summary:
Total energy   -7.00 eV/atom
Theoretical density   11.8 g cm⁻³

Geometry as POSCAR:
```
Lu4Hf2Pb3C3
1.0
5.227 -3.019 0.000
5.227 3.019 0.000
-3.542 0.000 15.276
Hf Pb C Lu
4 6 6 8
Direct
0.526 0.353 0.076
0.647 0.474 0.424
0.474 0.647 0.924
0.353 0.526 0.576
0.266 0.417 0.252
0.417 0.266 0.752
0.099 0.901 0.750
0.734 0.583 0.748
0.901 0.099 0.250
0.583 0.734 0.248
0.500 0.000 0.000
0.344 0.812 0.500
0.188 0.656 0.000
0.656 0.188 0.500
0.812 0.344 0.000
0.000 0.500 0.500
0.305 0.132 0.415
0.810 0.965 0.915
0.190 0.035 0.085
0.132 0.305 0.915
0.868 0.695 0.085
0.695 0.868 0.585
0.035 0.190 0.585
0.965 0.810 0.415
```



4.
The following is a PBE calculation of crystalline Lu2ScIn3Pd2 at its relaxed geometry, from OQMD via LeMat-Bulk.

Summary:
Total energy   -4.95 eV/atom
Theoretical density   9.0 g cm⁻³

Geometry as POSCAR:
```
Lu2ScIn3Pd2
1.0
3.529 0.000 0.000
0.000 6.582 3.775
0.000 -6.582 3.775
Pd In Sc Lu
2 3 1 2
Direct
0.000 0.336 0.665
0.000 0.665 0.336
0.000 0.995 0.765
0.000 0.239 0.239
0.000 0.765 0.995
0.500 0.581 0.581
0.500 0.000 0.418
0.500 0.418 0.000
```



5.
The following is a PBE calculation of crystalline La3Mg3TlHg2 at its relaxed geometry, from OQMD via LeMat-Bulk.

Summary:
Total energy   -2.88 eV/atom
Theoretical density   7.3 g cm⁻³

Geometry as POSCAR:
```
La3Mg3TlHg2
1.0
-2.005 0.184 7.459
3.201 -6.367 -2.984
4.357 1.661 1.130
Mg La Tl Hg
3 3 1 2
Direct
0.244 0.244 0.500
0.000 0.756 0.500
0.756 0.000 0.500
0.428 0.000 0.000
0.000 0.428 0.000
0.572 0.572 0.000
0.000 0.000 0.000
0.333 0.667 0.500
0.667 0.333 0.500
```



6.
The following is a PBE calculation of crystalline Cs2CuGeCl6 at its relaxed geometry, from OQMD via LeMat-Bulk.

Summary:
Total energy   -3.34 eV/atom
Theoretical density   3.9 g cm⁻³

Geometry as POSCAR:
```
Cs2CuGeCl6
1.0
0.000 5.091 5.091
5.091 0.000 5.091
5.091 5.091 0.000
Cl Ge Cu Cs
6 1 1 2
Direct
0.247 0.753 0.753
0.753 0.247 0.753
0.247 0.753 0.247
0.247 0.247 0.753
0.753 0.247 0.247
0.753 0.753 0.247
0.500 0.500 0.500
0.000 0.000 0.000
0.750 0.750 0.750
0.250 0.250 0.250
```



7.
The following is a PBE calculation of crystalline GdHgTe at its relaxed geometry, from OQMD via LeMat-Bulk.

Summary:
Total energy   -3.15 eV/atom
Theoretical density   8.2 g cm⁻³
Energy relative to the lowest polymorph listed for this composition   0.1712 eV per atom

Geometry as POSCAR:
```
GdHgTe
1.0
0.000 3.666 3.666
3.666 0.000 3.666
3.666 3.666 0.000
Te Hg Gd
1 1 1
Direct
0.000 0.000 0.000
0.750 0.750 0.750
0.250 0.250 0.250
```



8.
The following is a PBE calculation of crystalline NbSI3 at its relaxed geometry, from OQMD via LeMat-Bulk.

Summary:
Total energy   -4.32 eV/atom
Theoretical density   4.5 g cm⁻³

Geometry as POSCAR:
```
NbSI3
1.0
2.961 5.437 5.421
-4.910 1.745 -6.369
-10.404 -3.735 8.115
Nb I S
4 12 4
Direct
0.873 0.990 0.844
0.010 0.127 0.656
0.990 0.873 0.344
0.127 0.010 0.156
0.214 0.502 0.592
0.051 0.246 0.031
0.502 0.214 0.092
0.754 0.949 0.469
0.786 0.498 0.408
0.192 0.296 0.305
0.246 0.051 0.531
0.808 0.704 0.695
0.296 0.192 0.805
0.704 0.808 0.195
0.498 0.786 0.908
0.949 0.754 0.969
0.947 0.304 0.789
0.304 0.947 0.289
0.696 0.053 0.711
0.053 0.696 0.211
```



9.
The following is a PBE calculation of crystalline ZrInCuAg at its relaxed geometry, from OQMD via LeMat-Bulk.

Summary:
Total energy   -4.60 eV/atom
Theoretical density   8.6 g cm⁻³
Energy relative to the lowest polymorph listed for this composition   0.0000 eV per atom

Geometry as POSCAR:
```
ZrInCuAg
1.0
0.000 3.317 3.317
3.317 0.000 3.317
3.317 3.317 0.000
In Zr Ag Cu
1 1 1 1
Direct
0.000 0.000 0.000
0.500 0.500 0.500
0.250 0.250 0.250
0.750 0.750 0.750
```



10.
The following is a PBE calculation of crystalline Li2HfPb at its relaxed geometry, from OQMD via LeMat-Bulk.

Summary:
Total energy   -4.28 eV/atom
Theoretical density   8.3 g cm⁻³

Geometry as POSCAR:
```
Li2HfPb
1.0
0.000 3.417 3.417
3.417 0.000 3.417
3.417 3.417 0.000
Li Pb Hf
2 1 1
Direct
0.750 0.750 0.750
0.000 0.000 0.000
0.500 0.500 0.500
0.250 0.250 0.250
```



11.
The following is a PBE calculation of crystalline TbHoPO at its relaxed geometry, from OQMD via LeMat-Bulk.

Summary:
Total energy   -6.78 eV/atom
Theoretical density   7.8 g cm⁻³
Energy relative to the lowest polymorph listed for this composition   0.1318 eV per atom

Geometry as POSCAR:
```
TbHoPO
1.0
-3.243 -0.900 -2.676
-2.392 -1.289 3.332
-2.979 7.948 0.938
Ho Tb P O
2 2 2 2
Direct
0.000 0.500 0.101
0.500 0.000 0.899
0.500 0.500 0.500
0.000 0.000 0.500
0.000 0.500 0.700
0.500 0.000 0.300
0.000 0.000 0.000
0.500 0.500 0.000
```



12.
The following is a PBE calculation of crystalline Zr2Np at its relaxed geometry, from OQMD via LeMat-Bulk.

Summary:
Total energy   -9.73 eV/atom
ΔE_f   65 kJ/mol of formula units
Theoretical density   10.8 g cm⁻³
Energy relative to the lowest polymorph listed for this composition   0.0132 eV per atom

Geometry as POSCAR:
```
Zr2Np
1.0
-2.989 -5.392 16.421
-2.281 -1.674 -0.965
3.059 -3.775 -0.683
Np Zr
4 8
Direct
0.690 0.000 0.000
0.190 0.500 0.000
0.254 0.500 0.500
0.754 0.000 0.500
0.516 0.500 0.000
0.599 0.500 0.500
0.429 0.000 0.500
0.016 0.000 0.000
0.929 0.500 0.500
0.845 0.500 0.000
0.099 0.000 0.500
0.345 0.000 0.000
```